[1]
NaSrTlBi (GGA-PBE, relaxed); distance to the lowest polymorph of the same formula = 0.004 eV per atom; volume = 131 Å³/cell; space group = F-43m (216); total magnetization = 0.00 μB per formula unit; density = 6.63 g cm⁻³
1.0
-0.348 2.928 -4.881
-5.075 1.768 -1.909
-1.305 5.551 0.091
Sr Tl Bi Na
1 1 1 1
direct
0.500 0.500 0.500
0.250 0.250 0.250
0.750 0.750 0.750
0.000 0.000 0.000


[2]
NaSr2TlBi (GGA-PBE, relaxed); volume = 241 Å³/cell; total energy = -11.97 eV/cell; space group = P4/mmm (123); total magnetization = 0.00 μB per formula unit; density = 4.21 g cm⁻³
1.0
6.416 0.000 0.000
0.000 6.416 0.000
0.000 0.000 5.860
Sr Tl Bi Na
2 1 1 1
direct
0.000 0.500 0.000
0.500 0.000 0.000
0.500 0.500 0.500
0.000 0.000 0.000
0.000 0.000 0.500


[3]
Na2SrTlBi2 (GGA-PBE, relaxed); volume = 408 Å³/cell; total energy = -34.18 eV/cell; space group = Pmc2_1 (26); total magnetization = 0.00 μB per formula unit; density = 6.16 g cm⁻³
1.0
-4.412 1.159 -1.793
2.784 -1.601 -7.886
-2.811 -9.310 0.898
Na Sr Tl Bi
4 2 2 4
direct
0.500 0.051 0.076
0.000 0.370 0.181
0.500 0.551 0.924
0.000 0.870 0.819
0.000 0.970 0.433
0.000 0.470 0.567
0.500 0.137 0.697
0.500 0.637 0.303
0.000 0.260 0.869
0.500 0.258 0.381
0.000 0.760 0.131
0.500 0.758 0.619


[4]
Na2SrYBi (GGA-PBE, relaxed); volume = 218 Å³/cell; total energy = -13.68 eV/cell; space group = P4/mmm (123); total magnetization = 0.00 μB per formula unit; density = 3.28 g cm⁻³
1.0
-5.946 -0.862 -1.008
-0.682 -1.793 5.556
-1.122 5.738 1.714
Y Sr Bi Na
1 1 1 2
direct
0.000 0.000 0.000
0.500 0.500 0.500
0.000 0.500 0.000
0.000 0.000 0.500
0.500 0.000 0.000


[5]
Na2SrZnBi2 (GGA-PBE, relaxed); volume = 366 Å³/cell; total energy = -32.51 eV/cell; space group = Pmc2_1 (26); total magnetization = 0.00 μB per formula unit; density = 5.59 g cm⁻³
1.0
4.842 0.000 0.000
0.000 8.232 0.000
0.000 0.000 9.194
Na Sr Zn Bi
4 2 2 4
direct
0.500 0.026 0.080
0.000 0.351 0.159
0.500 0.526 0.920
0.000 0.851 0.841
0.000 0.000 0.452
0.000 0.500 0.548
0.500 0.152 0.677
0.500 0.652 0.323
0.000 0.235 0.831
0.500 0.282 0.372
0.000 0.735 0.169
0.500 0.782 0.628


[6]
Na2SrZn2Bi2 (GGA-PBE, relaxed); volume = 191 Å³/cell; total energy = -17.00 eV/cell; space group = R-3m (166); total magnetization = 0.00 μB per formula unit; density = 5.92 g cm⁻³
1.0
-1.690 -4.307 1.669
2.764 -4.048 -0.400
4.055 -1.067 8.595
Na Sr Zn Bi
2 1 2 2
direct
0.141 0.141 0.578
0.859 0.859 0.422
0.000 0.000 0.000
0.548 0.548 0.355
0.452 0.452 0.645
0.742 0.742 0.774
0.258 0.258 0.226


[7]
NaSrZnBi (GGA-PBE, relaxed); volume = 121 Å³/cell; total energy = -9.82 eV/cell; space group = F-43m (216); total magnetization = 0.00 μB per formula unit; density = 5.27 g cm⁻³
1.0
-0.133 3.478 4.332
-0.682 -1.992 5.143
4.227 0.110 3.606
Sr Zn Bi Na
1 1 1 1
direct
0.250 0.250 0.250
0.500 0.500 0.500
0.000 0.000 0.000
0.750 0.750 0.750


[8]
NaSr2ZrBi (GGA-PBE, relaxed); volume = 238 Å³/cell; total energy = -15.92 eV/cell; space group = P4/mmm (123); total magnetization = 2.80 μB per formula unit; density = 3.48 g cm⁻³
1.0
-5.287 3.474 -1.344
0.014 -2.029 -5.304
-3.725 -4.941 1.880
Sr Bi Zr Na
2 1 1 1
direct
0.000 0.000 0.500
0.500 0.000 0.000
0.000 0.000 0.000
0.000 0.500 0.000
0.500 0.500 0.500


[9]
NaTaBi3 (GGA-PBE, relaxed); distance to the lowest polymorph of the same formula = 0.000 eV per atom; volume = 173 Å³/cell; space group = Pm-3m (221); total magnetization = 0.00 μB per formula unit; density = 7.97 g cm⁻³
1.0
5.572 0.000 0.000
0.000 5.572 0.000
0.000 0.000 5.572
Na Bi Ta
1 3 1
direct
0.500 0.500 0.500
0.000 0.500 0.000
0.000 0.000 0.500
0.500 0.000 0.000
0.000 0.000 0.000


[10]
NaTa3Bi (GGA-PBE, relaxed); distance to the lowest polymorph of the same formula = 0.125 eV per atom; volume = 144 Å³/cell; space group = Pm-3m (221); total magnetization = 0.00 μB per formula unit; density = 8.95 g cm⁻³
1.0
5.239 0.000 0.000
0.000 5.239 0.000
0.000 0.000 5.239
Na Bi Ta
1 1 3
direct
0.500 0.500 0.500
0.000 0.000 0.000
0.000 0.500 0.000
0.000 0.000 0.500
0.500 0.000 0.000


[11]
NaTaBi2 (GGA-PBE, relaxed); distance to the lowest polymorph of the same formula = 0.000 eV per atom; volume = 99 Å³/cell; space group = Fm-3m (225); total magnetization = 1.36 μB per formula unit; density = 10.48 g cm⁻³
1.0
0.000 3.666 3.666
3.666 0.000 3.666
3.666 3.666 0.000
Na Bi Ta
1 2 1
direct
0.000 0.000 0.000
0.250 0.250 0.250
0.750 0.750 0.750
0.500 0.500 0.500


[12]
NaTa3Bi (GGA-PBE, relaxed); distance to the lowest polymorph of the same formula = 0.000 eV per atom; volume = 109 Å³/cell; space group = Pm-3m (221); total magnetization = 0.00 μB per formula unit; density = 11.82 g cm⁻³
1.0
4.774 0.000 0.000
0.000 4.774 0.000
0.000 0.000 4.774
Na Bi Ta
1 1 3
direct
0.000 0.000 0.000
0.500 0.500 0.500
0.000 0.500 0.000
0.000 0.000 0.500
0.500 0.000 0.000


[13]
NaTa2Bi (GGA-PBE, relaxed); volume = 187 Å³/cell; total energy = -48.03 eV/cell; space group = I-42d (122); total magnetization = 0.00 μB per formula unit; density = 10.55 g cm⁻³
1.0
-0.067 1.737 7.952
5.030 -6.243 1.406
4.700 -0.546 4.325
Na Bi Ta
2 2 4
direct
0.500 0.500 0.000
0.250 0.750 0.500
0.000 0.000 0.000
0.750 0.250 0.500
0.648 0.125 0.250
0.102 0.625 0.250
0.375 0.352 0.750
0.875 0.898 0.750


[14]
NaTaBi2 (GGA-PBE, relaxed); distance to the lowest polymorph of the same formula = 0.120 eV per atom; volume = 323 Å³/cell; space group = I-42d (122); total magnetization = 0.00 μB per formula unit; density = 6.40 g cm⁻³
1.0
7.238 0.000 0.000
0.000 7.238 0.000
3.619 3.619 6.163
Na Bi Ta
2 4 2
direct
0.500 0.500 0.000
0.250 0.750 0.500
0.687 0.125 0.250
0.063 0.625 0.250
0.375 0.313 0.750
0.875 0.937 0.750
0.000 0.000 0.000
0.750 0.250 0.500


[15]
NaTbBi2 (GGA-PBE, relaxed); distance to the lowest polymorph of the same formula = 0.000 eV per atom; volume = 120 Å³/cell; space group = P4/mmm (123); total magnetization = 0.00 μB per formula unit; density = 8.29 g cm⁻³
1.0
3.652 0.000 0.000
0.000 3.652 0.000
0.000 0.000 9.013
Na Tb Bi
1 1 2
direct
0.500 0.500 0.000
0.500 0.500 0.500
0.000 0.000 0.742
0.000 0.000 0.258


[16]
NaTbBi2 (GGA-PBE, relaxed); distance to the lowest polymorph of the same formula = 0.076 eV per atom; volume = 133 Å³/cell; space group = R3m (160); total magnetization = 0.00 μB per formula unit; density = 7.48 g cm⁻³
1.0
4.882 0.000 0.000
2.441 4.228 0.000
2.441 1.409 6.448
Na Tb Bi
1 1 2
direct
0.491 0.491 0.526
0.672 0.672 0.985
0.084 0.084 0.748
0.253 0.253 0.240


[17]
NaTbBi2 (GGA-PBE, relaxed); distance to the lowest polymorph of the same formula = 0.015 eV per atom; volume = 116 Å³/cell; space group = P4/mmm (123); total magnetization = 0.00 μB per formula unit; density = 8.59 g cm⁻³
1.0
4.314 0.000 0.000
0.000 5.185 0.000
0.000 0.000 5.185
Na Tb Bi
1 1 2
direct
0.500 0.000 0.000
0.500 0.500 0.500
0.000 0.000 0.500
0.000 0.500 0.000


[18]
NaTbBi2 (GGA-PBE, relaxed); distance to the lowest polymorph of the same formula = 0.081 eV per atom; volume = 119 Å³/cell; space group = Fm-3m (225); total magnetization = 0.00 μB per formula unit; density = 8.39 g cm⁻³
1.0
5.516 0.000 0.000
2.758 4.777 0.000
2.758 1.592 4.504
Na Tb Bi
1 1 2
direct
0.500 0.500 0.500
0.000 0.000 0.000
0.250 0.250 0.250
0.750 0.750 0.750


[19]
NaTbBi2 (GGA-PBE, relaxed); distance to the lowest polymorph of the same formula = 0.165 eV per atom; volume = 136 Å³/cell; space group = R-3m (166); total magnetization = 0.00 μB per formula unit; density = 7.33 g cm⁻³
1.0
4.473 0.000 0.000
2.237 3.874 0.000
2.237 1.291 7.838
Na Tb Bi
1 1 2
direct
0.500 0.500 0.500
0.000 0.000 0.000
0.256 0.256 0.232
0.744 0.744 0.768


[20]
Na3TbBi2Te6 (GGA-PBE, relaxed); formation energy (no corrections) = -799 meV per atom; volume = 399 Å³/cell; space group = C2/m (12); total magnetization = 0.00 μB per formula unit; density = 5.87 g cm⁻³
1.0
7.792 -0.003 0.000
-3.897 6.747 0.000
-1.299 -2.250 7.597
Na Tb Bi Te
3 1 2 6
direct
0.173 0.827 0.500
0.827 0.173 0.500
0.500 0.500 0.500
0.000 0.000 0.000
0.334 0.666 0.000
0.666 0.334 0.000
0.922 0.592 0.766
0.749 0.749 0.237
0.078 0.408 0.234
0.592 0.922 0.766
0.251 0.251 0.763
0.408 0.078 0.234